(1)
# CaHgPd6

A relaxed CaHgPd6 crystal (PBE-GGA, the Alexandria database).

abc: 8.0912 8.0984 4.1686
angles: 90.00 90.00 90.00
Sites, in units of the cell vectors:
Ca 0.0000 0.0000 0.0000
Ca 0.5000 0.5000 0.0000
Hg 0.0000 0.5000 0.0000
Hg 0.5000 0.0000 0.0000
Pd 0.0000 0.2544 0.5000
Pd 0.0000 0.7456 0.5000
Pd 0.2454 0.5000 0.5000
Pd 0.2500 0.2500 0.0000
Pd 0.2500 0.7500 0.0000
Pd 0.2546 0.0000 0.5000
Pd 0.5000 0.2456 0.5000
Pd 0.5000 0.7544 0.5000
Pd 0.7454 0.0000 0.5000
Pd 0.7500 0.2500 0.0000
Pd 0.7500 0.7500 0.0000
Pd 0.7546 0.5000 0.5000

Summary:
Energy relative to the elements, eV per atom: -0.298
Distance to the lowest polymorph of the same formula, eV/f.u.: 0.000

---

(2)
# Ac12Co5Ir

A relaxed Ac12Co5Ir crystal (PBE-GGA, the Alexandria database).

abc: 7.4222 7.4222 13.7194
angles: 90.08 90.08 120.96
Sites, in units of the cell vectors:
Ac 0.0022 0.6694 0.6106
Ac 0.1567 0.1567 0.1136
Ac 0.1601 0.5011 0.8869
Ac 0.3306 0.9978 0.3894
Ac 0.3361 0.3361 0.6117
Ac 0.4989 0.8399 0.1131
Ac 0.5011 0.1601 0.8869
Ac 0.6639 0.6639 0.3883
Ac 0.6694 0.0022 0.6106
Ac 0.8399 0.4989 0.1131
Ac 0.8433 0.8433 0.8864
Ac 0.9978 0.3306 0.3894
Co 0.0000 0.0000 0.5000
Co 0.1666 0.8334 0.0000
Co 0.3336 0.6664 0.5000
Co 0.6664 0.3336 0.5000
Co 0.8334 0.1666 0.0000
Ir 0.5000 0.5000 0.0000

Summary:
Energy relative to the elements, eV per atom: -0.116

---

(3)
# Li4AlIr

A relaxed Li4AlIr crystal (PBE-GGA, the Alexandria database).

abc: 4.7631 4.7631 4.7631
angles: 60.00 60.00 60.00
Sites, in units of the cell vectors:
Li 0.3770 0.3770 0.3770
Li 0.3770 0.3770 0.8689
Li 0.3770 0.8689 0.3770
Li 0.8689 0.3770 0.3770
Al 0.0000 0.0000 0.0000
Ir 0.7500 0.7500 0.7500

Summary:
Energy relative to the elements, eV per atom: -0.082

---

(4)
# PrThOsBr

A relaxed PrThOsBr crystal (PBE-GGA, the Alexandria database).

abc: 4.1635 4.1635 23.9461
angles: 90.00 90.00 120.00
Sites, in units of the cell vectors:
Pr 0.0000 0.0000 0.0000
Pr 0.3333 0.6667 0.6667
Pr 0.6667 0.3333 0.3333
Th 0.0000 0.0000 0.7924
Th 0.3333 0.6667 0.4591
Th 0.6667 0.3333 0.1258
Os 0.0000 0.0000 0.4020
Os 0.3333 0.6667 0.0687
Os 0.6667 0.3333 0.7353
Br 0.0000 0.0000 0.2300
Br 0.3333 0.6667 0.8966
Br 0.6667 0.3333 0.5633

Summary:
Formation energy (no corrections), eV/atom: -0.7556

---

(5)
# SrYSb2

A relaxed SrYSb2 crystal (PBE-GGA, the Alexandria database).

abc: 4.6675 4.6675 22.1423
angles: 90.00 90.00 120.00
Sites, in units of the cell vectors:
Sr 0.0000 0.0000 0.0000
Sr 0.3333 0.6667 0.6667
Sr 0.6667 0.3333 0.3333
Y 0.0000 0.0000 0.8274
Y 0.3333 0.6667 0.4941
Y 0.6667 0.3333 0.1607
Sb 0.0000 0.0000 0.4229
Sb 0.0000 0.0000 0.5711
Sb 0.3333 0.6667 0.0895
Sb 0.3333 0.6667 0.2377
Sb 0.6667 0.3333 0.7562
Sb 0.6667 0.3333 0.9044

Summary:
Formation energy (no corrections), eV/atom: -0.8837
Distance to the lowest polymorph of the same formula, eV/f.u.: 0.311

---

(6)
# Pm12Y7Th

A relaxed Pm12Y7Th crystal (PBE-GGA, the Alexandria database).

abc: 10.0279 10.0279 10.0279
angles: 109.47 109.47 109.47
Sites, in units of the cell vectors:
Pm 0.0009 0.2257 0.7751
Pm 0.2249 0.4506 0.2257
Pm 0.2249 0.9991 0.7743
Pm 0.2257 0.2249 0.4506
Pm 0.2257 0.7751 0.0009
Pm 0.4506 0.2257 0.2249
Pm 0.5494 0.7743 0.7751
Pm 0.7743 0.2249 0.9991
Pm 0.7743 0.7751 0.5494
Pm 0.7751 0.0009 0.2257
Pm 0.7751 0.5494 0.7743
Pm 0.9991 0.7743 0.2249
Y 0.0000 0.0000 0.5000
Y 0.0000 0.5000 0.0000
Y 0.0000 0.5000 0.5000
Y 0.5000 0.0000 0.0000
Y 0.5000 0.0000 0.5000
Y 0.5000 0.5000 0.0000
Y 0.5000 0.5000 0.5000
Th 0.0000 0.0000 0.0000

Summary:
Energy relative to the elements, eV per atom: 0.717
Distance to the lowest polymorph of the same formula, eV/f.u.: 10.097

---

(7)
# ScTiS3

A relaxed ScTiS3 crystal (PBE-GGA, the Alexandria database).

abc: 10.4111 10.4111 6.1379
angles: 90.00 90.00 158.75
Sites, in units of the cell vectors:
Sc 0.1736 0.8264 0.5000
Sc 0.8264 0.1736 0.0000
Ti 0.3828 0.6172 0.5878
Ti 0.6172 0.3828 0.0878
S 0.0716 0.9284 0.2360
S 0.2791 0.7209 0.7550
S 0.3799 0.6201 0.2140
S 0.6201 0.3799 0.7140
S 0.7209 0.2791 0.2550
S 0.9284 0.0716 0.7360

Summary:
Formation energy (no corrections), eV/atom: -1.4660
Distance to the lowest polymorph of the same formula, eV/f.u.: 0.662

---

(8)
# RbNdCuBr5

A relaxed RbNdCuBr5 crystal (PBE-GGA, the Alexandria database).

abc: 7.9262 7.9262 10.8085
angles: 103.77 103.77 106.13
Sites, in units of the cell vectors:
Rb 0.1445 0.8555 0.7500
Rb 0.8555 0.1445 0.2500
Nd 0.5000 0.5000 0.0000
Nd 0.5000 0.5000 0.5000
Cu 0.1905 0.8095 0.2500
Cu 0.8095 0.1905 0.7500
Br 0.1141 0.2623 0.9255
Br 0.1827 0.5939 0.3817
Br 0.2623 0.1141 0.4255
Br 0.4061 0.8173 0.1183
Br 0.4148 0.5852 0.7500
Br 0.5852 0.4148 0.2500
Br 0.5939 0.1827 0.8817
Br 0.7377 0.8859 0.5745
Br 0.8173 0.4061 0.6183
Br 0.8859 0.7377 0.0745

Summary:
Formation energy (no corrections), eV/atom: -1.4326

---

(9)
# InNiHRu2

A relaxed InNiHRu2 crystal (PBE-GGA, the Alexandria database).

abc: 3.9974 3.9974 3.8349
angles: 90.00 90.00 90.00
Sites, in units of the cell vectors:
In 0.0000 0.0000 0.0000
Ni 0.5000 0.5000 0.0000
H 0.5000 0.5000 0.5000
Ru 0.0000 0.5000 0.5000
Ru 0.5000 0.0000 0.5000

Summary:
Total DFT energy (no corrections), eV for the cell shown: -29.75

---

(10)
# AcPrDyPb

A relaxed AcPrDyPb crystal (PBE-GGA, the Alexandria database).

abc: 8.0518 8.0518 8.0518
angles: 90.00 90.00 90.00
Sites, in units of the cell vectors:
Ac 0.0000 0.0000 0.0000
Ac 0.0000 0.5000 0.5000
Ac 0.5000 0.0000 0.5000
Ac 0.5000 0.5000 0.0000
Pr 0.2500 0.2500 0.7500
Pr 0.2500 0.7500 0.2500
Pr 0.7500 0.2500 0.2500
Pr 0.7500 0.7500 0.7500
Dy 0.2500 0.2500 0.2500
Dy 0.2500 0.7500 0.7500
Dy 0.7500 0.2500 0.7500
Dy 0.7500 0.7500 0.2500
Pb 0.0000 0.0000 0.5000
Pb 0.0000 0.5000 0.0000
Pb 0.5000 0.0000 0.0000
Pb 0.5000 0.5000 0.5000

Summary:
Energy relative to the elements, eV per atom: -0.092

---

(11)
# NaGe2SbS6

A relaxed NaGe2SbS6 crystal (PBE-GGA, the Alexandria database).

abc: 8.5674 8.5674 7.0321
angles: 103.89 103.89 81.86
Sites, in units of the cell vectors:
Na 0.1148 0.8852 0.7500
Na 0.8852 0.1148 0.2500
Ge 0.1969 0.3805 0.7880
Ge 0.3805 0.1969 0.2880
Ge 0.6195 0.8031 0.7120
Ge 0.8031 0.6195 0.2120
Sb 0.2616 0.7384 0.2500
Sb 0.7384 0.2616 0.7500
S 0.0144 0.1964 0.6552
S 0.0811 0.6227 0.8798
S 0.1964 0.0144 0.1552
S 0.3154 0.4088 0.5348
S 0.3773 0.9189 0.6202
S 0.4088 0.3154 0.0348
S 0.5912 0.6846 0.9652
S 0.6227 0.0811 0.3798
S 0.6846 0.5912 0.4652
S 0.8036 0.9856 0.8448
S 0.9189 0.3773 0.1202
S 0.9856 0.8036 0.3448

Summary:
Formation energy (no corrections), eV/atom: -0.4022

---

(12)
# Y2Hg2Au

A relaxed Y2Hg2Au crystal (PBE-GGA, the Alexandria database).

abc: 3.6517 19.8583 3.4829
angles: 90.00 90.00 90.00
Sites, in units of the cell vectors:
Y 0.0000 0.0928 0.0000
Y 0.0000 0.9072 0.0000
Y 0.5000 0.4072 0.0000
Y 0.5000 0.5928 0.0000
Hg 0.0000 0.3080 0.5000
Hg 0.0000 0.6920 0.5000
Hg 0.5000 0.1920 0.5000
Hg 0.5000 0.8080 0.5000
Au 0.0000 0.5000 0.5000
Au 0.5000 0.0000 0.5000

Summary:
Energy relative to the elements, eV per atom: -0.501
Distance to the lowest polymorph of the same formula, eV/f.u.: 0.000

---

(13)
# TaFeP2

A relaxed TaFeP2 crystal (PBE-GGA, the Alexandria database).

abc: 3.1049 3.5183 5.0246
angles: 90.00 90.00 90.00
Sites, in units of the cell vectors:
Ta 0.0000 0.0000 0.0000
Fe 0.5000 0.0000 0.5000
P 0.5000 0.5000 0.2448
P 0.5000 0.5000 0.7552

Summary:
Energy relative to the elements, eV per atom: -0.355
Distance to the lowest polymorph of the same formula, eV/f.u.: 0.665

---

(14)
# RbSbPdPt2

A relaxed RbSbPdPt2 crystal (PBE-GGA, the Alexandria database).

abc: 5.0983 5.0983 5.1362
angles: 90.00 90.00 90.00
Sites, in units of the cell vectors:
Rb 0.0000 0.0000 0.0000
Sb 0.5000 0.5000 0.5000
Pd 0.5000 0.5000 0.0000
Pt 0.0000 0.5000 0.5000
Pt 0.5000 0.0000 0.5000

Summary:
Formation energy (no corrections), eV/atom: 0.1862

---

(15)
# Zn4Cu3Ir

A relaxed Zn4Cu3Ir crystal (PBE-GGA, the Alexandria database).

abc: 8.6723 5.5418 4.4580
angles: 90.00 90.00 90.00
Sites, in units of the cell vectors:
Zn 0.0000 0.2469 0.0000
Zn 0.0000 0.7531 0.0000
Zn 0.2500 0.2462 0.3886
Zn 0.2500 0.7538 0.3886
Zn 0.5000 0.2469 0.0000
Zn 0.5000 0.7531 0.0000
Zn 0.7500 0.2462 0.6114
Zn 0.7500 0.7538 0.6114
Cu 0.0000 0.0000 0.5000
Cu 0.2500 0.0000 0.8802
Cu 0.2500 0.5000 0.8818
Cu 0.5000 0.0000 0.5000
Cu 0.7500 0.0000 0.1198
Cu 0.7500 0.5000 0.1182
Ir 0.0000 0.5000 0.5000
Ir 0.5000 0.5000 0.5000

Summary:
Energy relative to the elements, eV per atom: -0.121

---

(16)
# TbPu2NpN4

A relaxed TbPu2NpN4 crystal (PBE-GGA, the Alexandria database).

abc: 5.9985 3.4744 6.0165
angles: 90.00 109.51 90.00
Sites, in units of the cell vectors:
Tb 0.0000 0.0000 0.0000
Pu 0.0000 0.5000 0.5000
Pu 0.5000 0.0000 0.5000
Np 0.5000 0.5000 0.0000
N 0.2624 0.0000 0.7600
N 0.2657 0.5000 0.2473
N 0.7343 0.5000 0.7527
N 0.7376 0.0000 0.2400

Summary:
Formation energy (no corrections), eV/atom: -1.2738

---

(17)
# Si4SnPt2

A relaxed Si4SnPt2 crystal (PBE-GGA, the Alexandria database).

abc: 4.9591 4.9591 12.6938
angles: 90.00 90.00 90.00
Sites, in units of the cell vectors:
Si 0.0000 0.0000 0.2201
Si 0.0000 0.0000 0.7799
Si 0.0000 0.5000 0.0000
Si 0.0000 0.5000 0.5000
Si 0.5000 0.0000 0.0000
Si 0.5000 0.0000 0.5000
Si 0.5000 0.5000 0.2799
Si 0.5000 0.5000 0.7201
Sn 0.0000 0.0000 0.0000
Sn 0.5000 0.5000 0.5000
Pt 0.0000 0.0000 0.3955
Pt 0.0000 0.0000 0.6045
Pt 0.5000 0.5000 0.1045
Pt 0.5000 0.5000 0.8955

Summary:
Formation energy (no corrections), eV/atom: 0.6291

---

(18)
# Al2SiTeBr

A relaxed Al2SiTeBr crystal (PBE-GGA, the Alexandria database).

abc: 5.0950 5.0950 4.7798
angles: 90.00 90.00 90.00
Sites, in units of the cell vectors:
Al 0.0000 0.5000 0.0000
Al 0.5000 0.0000 0.0000
Si 0.0000 0.0000 0.0000
Te 0.5000 0.5000 0.5000
Br 0.0000 0.0000 0.5000

Summary:
Formation energy (no corrections), eV/atom: 0.2189

---

(19)
# Pr2PaSi3Rh12

A relaxed Pr2PaSi3Rh12 crystal (PBE-GGA, the Alexandria database).

abc: 6.7835 6.7835 6.7835
angles: 84.01 84.01 84.01
Sites, in units of the cell vectors:
Pr 0.1323 0.1323 0.1323
Pr 0.8677 0.8677 0.8677
Pa 0.5000 0.5000 0.5000
Si 0.0000 0.5000 0.5000
Si 0.5000 0.0000 0.5000
Si 0.5000 0.5000 0.0000
Rh 0.1296 0.1296 0.5804
Rh 0.1296 0.5804 0.1296
Rh 0.1804 0.6817 0.6817
Rh 0.3183 0.3183 0.8196
Rh 0.3183 0.8196 0.3183
Rh 0.4196 0.8704 0.8704
Rh 0.5804 0.1296 0.1296
Rh 0.6817 0.1804 0.6817
Rh 0.6817 0.6817 0.1804
Rh 0.8196 0.3183 0.3183
Rh 0.8704 0.4196 0.8704
Rh 0.8704 0.8704 0.4196

Summary:
Formation energy (no corrections), eV/atom: -0.4036

---

(20)
# TbBi2As2Rh7

A relaxed TbBi2As2Rh7 crystal (PBE-GGA, the Alexandria database).

abc: 4.0166 4.0166 14.1826
angles: 95.73 95.73 89.95
Sites, in units of the cell vectors:
Tb 0.0000 0.0000 0.0000
Bi 0.1202 0.1202 0.3912
Bi 0.8798 0.8798 0.6088
As 0.4134 0.4134 0.7527
As 0.5866 0.5866 0.2473
Rh 0.0526 0.5524 0.1502
Rh 0.3700 0.3700 0.5754
Rh 0.4476 0.9474 0.8498
Rh 0.5000 0.5000 0.0000
Rh 0.5524 0.0526 0.1502
Rh 0.6300 0.6300 0.4246
Rh 0.9474 0.4476 0.8498

Summary:
Energy relative to the elements, eV per atom: -0.287

---

We obtain total magnetic moment values of 0.000; 0.000; 0.000; 0.000; 0.001; 0.000; 1.013; 0.151; 0.000; 0.000; 0.000; 0.000; 0.498; 0.000; 0.000; 2.374; 0.000; 0.000; 0.000; 0.000 μB/f.u. for the records listed above, in that order.